Density functional theory data (PBE) for a relaxed structure of Hf2Nb4Co.

space group = I4/mmm
spin magnetization = 0.00 μB per cell
energy = -8.8429 eV per atom
energy of formation = 0.770 eV/atom

Cell and atoms, written as extended XYZ:
```
7
Lattice="-2.249 2.249 7.306 2.249 -2.249 7.306 2.249 2.249 -7.306" Properties=species:S:1:pos:R:3 pbc="T T T"
Hf 0.000 0.000 2.087
Hf 0.000 0.000 12.525
Nb 2.249 0.000 0.000
Nb 0.000 0.000 4.892
Nb 0.000 2.249 0.000
Nb 0.000 0.000 9.720
Co 0.000 0.000 7.306
```